# YMn2Rh, relaxed, DFT PBE-GGA
data_YMn2Rh
_chemical_formula_sum 'Y1 Mn2 Rh1'
_cell_length_a 3.090
_cell_length_b 4.393
_cell_length_c 5.516
_cell_angle_alpha 90.00
_cell_angle_beta 105.65
_cell_angle_gamma 90.00
_symmetry_space_group_name_H-M 'P 1 2/m 1'
_symmetry_Int_Tables_number 10
loop_
_symmetry_equiv_pos_as_xyz
'x,y,z'
'-x,-y,-z'
'-x,y,-z'
'x,-y,z'
loop_
_atom_site_label
_atom_site_fract_x
_atom_site_fract_y
_atom_site_fract_z
Y1 0.000 0.000 0.000
Mn1 0.331 0.500 0.715
Rh1 0.500 0.000 0.500
# ρ, g/cm3: 6.95
# Energy relative to the elements, eV/atom: 0.062